Record 1
Density functional theory data (PBE-GGA) for a relaxed structure of NaTcTe2AuSe.

Summary:
Energy   -4.240 eV/atom
Symmetry   Cmcm, No. 63

a = 7.4970 Å, b = 7.4970 Å, c = 10.3927 Å
α = 90.00°, β = 90.00°, γ = 149.87°
Closest atoms and distances in Å follow each position.
Atoms (fractional coordinates):
Na (0.2372, 0.7628, 0.7500)  2 Au 3.19, 6 Te 3.29-3.46, 2 Se 3.47
Na (0.7628, 0.2372, 0.2500)  2 Au 3.19, 6 Te 3.29-3.46, 2 Se 3.47
Tc (0.0000, 0.0000, 0.0000)  2 Se 2.76, 4 Te 2.78
Tc (0.0000, 0.0000, 0.5000)  2 Se 2.76, 4 Te 2.78
Te (0.3638, 0.6362, 0.0134)  1 Au 2.68, 2 Tc 2.78
Te (0.3638, 0.6362, 0.4866)  1 Au 2.68, 2 Tc 2.78
Te (0.6362, 0.3638, 0.5134)  1 Au 2.68, 2 Tc 2.78
Te (0.6362, 0.3638, 0.9866)  1 Au 2.68, 2 Tc 2.78
Au (0.4369, 0.5631, 0.2500)  2 Te 2.68, 2 Se 2.69
Au (0.5631, 0.4369, 0.7500)  2 Te 2.68, 2 Se 2.69
Se (0.0645, 0.9355, 0.2500)  2 Au 2.69, 2 Tc 2.76
Se (0.9355, 0.0645, 0.7500)  2 Au 2.69, 2 Tc 2.76



Record 2
Density functional theory data (PBE-GGA) for a relaxed structure of NaZrTe2AuSe.

Summary:
Energy   -4.554 eV/atom
Symmetry   Cmcm, No. 63

a = 7.6584 Å, b = 7.6584 Å, c = 10.5856 Å
α = 90.00°, β = 90.00°, γ = 149.49°
Closest atoms and distances in Å follow each position.
Atoms (fractional coordinates):
Na (0.2435, 0.7565, 0.7500)  2 Se 3.35, 6 Te 3.37-3.47, 2 Au 3.60
Na (0.7565, 0.2435, 0.2500)  2 Se 3.35, 6 Te 3.37-3.47, 2 Au 3.60
Zr (0.0000, 0.0000, 0.0000)  2 Se 2.87, 4 Te 2.95
Zr (0.0000, 0.0000, 0.5000)  2 Se 2.87, 4 Te 2.95
Te (0.3565, 0.6435, 0.0370)  1 Au 2.71, 2 Zr 2.95
Te (0.3565, 0.6435, 0.4630)  1 Au 2.71, 2 Zr 2.95
Te (0.6435, 0.3565, 0.5370)  1 Au 2.71, 2 Zr 2.95
Te (0.6435, 0.3565, 0.9630)  1 Au 2.71, 2 Zr 2.95
Au (0.4582, 0.5418, 0.2500)  2 Se 2.65, 2 Te 2.71
Au (0.5418, 0.4582, 0.7500)  2 Se 2.65, 2 Te 2.71
Se (0.0750, 0.9250, 0.2500)  2 Au 2.65, 2 Zr 2.87
Se (0.9250, 0.0750, 0.7500)  2 Au 2.65, 2 Zr 2.87



Record 3
Density functional theory data (PBE-GGA) for a relaxed structure of NaZrTeAuSe2.

Summary:
Energy   -4.735 eV/atom
Symmetry   Cmcm, No. 63

a = 7.4503 Å, b = 7.4503 Å, c = 10.7527 Å
α = 90.00°, β = 90.00°, γ = 149.55°
Closest atoms and distances in Å follow each position.
Atoms (fractional coordinates):
Na (0.2110, 0.7890, 0.7500)  4 Se 3.16, 2 Au 3.19, 2 Te 3.32
Na (0.7890, 0.2110, 0.2500)  4 Se 3.16, 2 Au 3.19, 2 Te 3.32
Zr (0.0000, 0.0000, 0.0000)  4 Se 2.75, 2 Te 3.06
Zr (0.0000, 0.0000, 0.5000)  4 Se 2.75, 2 Te 3.06
Te (0.1024, 0.8976, 0.2500)  2 Au 2.79, 2 Zr 3.06
Te (0.8976, 0.1024, 0.7500)  2 Au 2.79, 2 Zr 3.06
Au (0.4644, 0.5356, 0.2500)  2 Se 2.57, 2 Te 2.79
Au (0.5356, 0.4644, 0.7500)  2 Se 2.57, 2 Te 2.79
Se (0.3702, 0.6298, 0.0464)  1 Au 2.57, 2 Zr 2.75
Se (0.3702, 0.6298, 0.4536)  1 Au 2.57, 2 Zr 2.75
Se (0.6298, 0.3702, 0.5464)  1 Au 2.57, 2 Zr 2.75
Se (0.6298, 0.3702, 0.9536)  1 Au 2.57, 2 Zr 2.75



Number 1: total moment 0.40 μB per atom. Number 2: total moment 0.00 μB per atom. Number 3: total moment 0.00 μB per atom.